Density functional theory data (PBEsol) for crystalline Ga2AgPt2 at its relaxed geometry.

Unit cell a=7.4120 b=7.4120 c=2.8106 alpha=90.00 beta=90.00 gamma=90.00
Closest atoms and distances in Å follow each position.
Positions (direct):
Ga1 0.1566 0.3434 0.0000  6 Pt 2.54-2.62, 2 Ga 2.81
Ga2 0.3434 0.8434 0.0000  6 Pt 2.54-2.62, 2 Ga 2.81
Ga3 0.6566 0.1566 0.0000  6 Pt 2.54-2.62, 2 Ga 2.81
Ga4 0.8434 0.6566 0.0000  6 Pt 2.54-2.62, 2 Ga 2.81
Ag1 0.0000 0.0000 0.5000  2 Ag 2.81, 4 Pt 2.85, 8 Ga 3.13
Ag2 0.5000 0.5000 0.5000  2 Ag 2.81, 4 Pt 2.85, 8 Ga 3.13
Pt1 0.1420 0.6420 0.5000  6 Ga 2.54-2.62, 2 Pt 2.81
Pt2 0.3580 0.1420 0.5000  6 Ga 2.54-2.62, 2 Pt 2.81
Pt3 0.6420 0.8580 0.5000  6 Ga 2.54-2.62, 2 Pt 2.81
Pt4 0.8580 0.3580 0.5000  6 Ga 2.54-2.62, 2 Pt 2.81

Summary:
Energy = -5.28 eV per atom